1.
# SrIn2Si, optimized geometry, DFT PBE
# * crystal system: cubic
# * total magnetization: 0.000 μB/f.u.
# * raw formation energy: -1 meV/atom
data_SrIn2Si
_cell_length_a 5.3332
_cell_length_b 5.3332
_cell_length_c 5.3332
_cell_angle_alpha 60.00
_cell_angle_beta 60.00
_cell_angle_gamma 60.00
_symmetry_space_group_name_H-M 'P 1'
_symmetry_Int_Tables_number 1
loop_
_symmetry_equiv_pos_as_xyz
'x,y,z'
loop_
_atom_site_label
_atom_site_type_symbol
_atom_site_fract_x
_atom_site_fract_y
_atom_site_fract_z
Sr1 Sr 0.0000 0.0000 0.0000
In1 In 0.2500 0.2500 0.2500
In2 In 0.5000 0.5000 0.5000
Si1 Si 0.7500 0.7500 0.7500

=====

2.
# NaLuInPb, optimized geometry, DFT PBE
# * crystal system: cubic
# * total magnetization: 0.000 μB/f.u.
# * ΔE_f: -0.205 eV per atom
data_NaLuInPb
_cell_length_a 5.3302
_cell_length_b 5.3302
_cell_length_c 5.3302
_cell_angle_alpha 60.00
_cell_angle_beta 60.00
_cell_angle_gamma 60.00
_symmetry_space_group_name_H-M 'P 1'
_symmetry_Int_Tables_number 1
loop_
_symmetry_equiv_pos_as_xyz
'x,y,z'
loop_
_atom_site_label
_atom_site_type_symbol
_atom_site_fract_x
_atom_site_fract_y
_atom_site_fract_z
Na1 Na 0.0000 0.0000 0.0000
Lu1 Lu 0.5000 0.5000 0.5000
In1 In 0.2500 0.2500 0.2500
Pb1 Pb 0.7500 0.7500 0.7500

=====

3.
# ErNpMn, optimized geometry, DFT PBE
# * crystal system: monoclinic
# * total magnetization: 2.472 μB/f.u.
# * ΔE_f: 0.456 eV per atom
data_ErNpMn
_cell_length_a 4.0884
_cell_length_b 4.0884
_cell_length_c 11.0841
_cell_angle_alpha 99.71
_cell_angle_beta 99.71
_cell_angle_gamma 48.78
_symmetry_space_group_name_H-M 'P 1'
_symmetry_Int_Tables_number 1
loop_
_symmetry_equiv_pos_as_xyz
'x,y,z'
loop_
_atom_site_label
_atom_site_type_symbol
_atom_site_fract_x
_atom_site_fract_y
_atom_site_fract_z
Er1 Er 0.1760 0.1760 0.1255
Er2 Er 0.8240 0.8240 0.8745
Np1 Np 0.4989 0.4989 0.6550
Np2 Np 0.5011 0.5011 0.3450
Mn1 Mn 0.2428 0.2428 0.4097
Mn2 Mn 0.7572 0.7572 0.5903

=====

4.
# PmSmPd2, optimized geometry, DFT PBE
# * crystal system: tetragonal
# * total magnetization: 0.000 μB/f.u.
# * ΔE_f: -0.779 eV per atom
data_PmSmPd2
_cell_length_a 5.1312
_cell_length_b 5.1312
_cell_length_c 3.5123
_cell_angle_alpha 90.00
_cell_angle_beta 90.00
_cell_angle_gamma 90.00
_symmetry_space_group_name_H-M 'P 1'
_symmetry_Int_Tables_number 1
loop_
_symmetry_equiv_pos_as_xyz
'x,y,z'
loop_
_atom_site_label
_atom_site_type_symbol
_atom_site_fract_x
_atom_site_fract_y
_atom_site_fract_z
Pm1 Pm 0.0000 0.0000 0.0000
Sm1 Sm 0.5000 0.5000 0.0000
Pd1 Pd 0.0000 0.5000 0.5000
Pd2 Pd 0.5000 0.0000 0.5000

=====

5.
# Rb2ZrGeS4, optimized geometry, DFT PBE
# * crystal system: orthorhombic
# * total magnetization: 0.000 μB/f.u.
# * raw formation energy: -1066 meV/atom
data_Rb2ZrGeS4
_cell_length_a 13.7222
_cell_length_b 12.2375
_cell_length_c 7.8476
_cell_angle_alpha 83.11
_cell_angle_beta 62.30
_cell_angle_gamma 34.59
_symmetry_space_group_name_H-M 'P 1'
_symmetry_Int_Tables_number 1
loop_
_symmetry_equiv_pos_as_xyz
'x,y,z'
loop_
_atom_site_label
_atom_site_type_symbol
_atom_site_fract_x
_atom_site_fract_y
_atom_site_fract_z
Rb1 Rb 0.0563 0.0563 0.6937
Rb2 Rb 0.3063 0.3063 0.9437
Rb3 Rb 0.6937 0.6937 0.0563
Rb4 Rb 0.9437 0.9437 0.3063
Zr1 Zr 0.1250 0.1250 0.1250
Zr2 Zr 0.8750 0.8750 0.8750
Ge1 Ge 0.3750 0.3750 0.3750
Ge2 Ge 0.6250 0.6250 0.6250
S1 S 0.0436 0.3138 0.3952
S2 S 0.2527 0.6048 0.6862
S3 S 0.3138 0.0436 0.7473
S4 S 0.3952 0.7473 0.0436
S5 S 0.6048 0.2527 0.9564
S6 S 0.6862 0.9564 0.2527
S7 S 0.7473 0.3952 0.3138
S8 S 0.9564 0.6862 0.6048

=====

6.
# PmMnZn17, optimized geometry, DFT PBE
# * crystal system: trigonal
# * total magnetization: 4.065 μB/f.u.
# * ΔE_f: -0.073 eV per atom
data_PmMnZn17
_cell_length_a 6.7913
_cell_length_b 6.7913
_cell_length_c 6.7913
_cell_angle_alpha 81.97
_cell_angle_beta 81.97
_cell_angle_gamma 81.97
_symmetry_space_group_name_H-M 'P 1'
_symmetry_Int_Tables_number 1
loop_
_symmetry_equiv_pos_as_xyz
'x,y,z'
loop_
_atom_site_label
_atom_site_type_symbol
_atom_site_fract_x
_atom_site_fract_y
_atom_site_fract_z
Pm1 Pm 0.0000 0.0000 0.0000
Mn1 Mn 0.7260 0.7260 0.7260
Zn1 Zn 0.0215 0.3488 0.6398
Zn2 Zn 0.0215 0.6398 0.3488
Zn3 Zn 0.1794 0.6852 0.6852
Zn4 Zn 0.2413 0.2413 0.2413
Zn5 Zn 0.3265 0.3265 0.8396
Zn6 Zn 0.3265 0.8396 0.3265
Zn7 Zn 0.3488 0.0215 0.6398
Zn8 Zn 0.3488 0.6398 0.0215
Zn9 Zn 0.4418 0.4418 0.4418
Zn10 Zn 0.5067 0.9888 0.9888
Zn11 Zn 0.6398 0.0215 0.3488
Zn12 Zn 0.6398 0.3488 0.0215
Zn13 Zn 0.6852 0.1794 0.6852
Zn14 Zn 0.6852 0.6852 0.1794
Zn15 Zn 0.8396 0.3265 0.3265
Zn16 Zn 0.9888 0.5067 0.9888
Zn17 Zn 0.9888 0.9888 0.5067